(1)
The following is a DFT calculation (PBE-GGA) of a geometry-optimized LaPmGaHg structure.

Cell lengths 3.727, 3.727, 7.831 Å; angles 90.00, 90.00, 90.00 degrees
Space group P4mm (No. 99)
Unique sites:
La: 0.000 0.000 0.000
Pm: 0.000 0.000 0.469
Ga: 0.500 0.500 0.243
Hg: 0.500 0.500 0.717

## Properties
* energy above the most stable polymorph in this dataset: 0.000 eV per atom
* total magnetization: 0.000 μB per cell
* energy relative to the elements: -0.535 eV/atom

***

(2)
The following is a DFT calculation (PBE-GGA) of a geometry-optimized LaPmGaHg structure.

Cell lengths 7.615, 7.615, 7.615 Å; angles 90.00, 90.00, 90.00 degrees
Space group F-43m (No. 216)
Unique sites:
La: 0.000 0.000 0.000
Pm: 0.000 0.000 0.500
Ga: 0.250 0.250 0.250
Hg: 0.250 0.250 0.750

## Properties
* energy above the most stable polymorph in this dataset: 0.031 eV per atom
* total magnetization: 1.834 μB per cell
* energy relative to the elements: -0.504 eV/atom

***

(3)
The following is a DFT calculation (PBE-GGA) of a geometry-optimized LaPrGaHg structure.

Cell lengths 3.754, 3.754, 7.887 Å; angles 90.00, 90.00, 90.00 degrees
Space group P4mm (No. 99)
Unique sites:
La: 0.000 0.000 0.000
Pr: 0.000 0.000 0.469
Ga: 0.500 0.500 0.238
Hg: 0.500 0.500 0.726

## Properties
* energy above the most stable polymorph in this dataset: 0.000 eV per atom
* total magnetization: 0.000 μB per cell
* energy relative to the elements: -0.527 eV/atom

***

(4)
The following is a DFT calculation (PBE-GGA) of a geometry-optimized LaPrGaHg structure.

Cell lengths 7.664, 7.664, 7.664 Å; angles 90.00, 90.00, 90.00 degrees
Space group F-43m (No. 216)
Unique sites:
La: 0.000 0.000 0.000
Pr: 0.000 0.000 0.500
Ga: 0.250 0.250 0.750
Hg: 0.250 0.250 0.250

## Properties
* energy above the most stable polymorph in this dataset: 0.027 eV per atom
* total magnetization: 1.490 μB per cell
* energy relative to the elements: -0.501 eV/atom

***

(5)
The following is a DFT calculation (PBE-GGA) of a geometry-optimized La3Pr3Ga2Hg structure.

Cell lengths 9.0058, 9.0058, 3.8798 Å; angles 90.00, 90.00, 120.00 degrees
Space group P-62m (No. 189)
Unique sites:
La: 0.0000 0.7160 0.0000
Pr: 0.0000 0.3982 0.5000
Ga: 0.3333 0.6667 0.0000
Hg: 0.0000 0.0000 0.5000

## Properties
* total magnetization: 0.003 μB per cell
* energy relative to the elements: -0.337 eV/atom

***

(6)
The following is a DFT calculation (PBE-GGA) of a geometry-optimized LaPr2Ga2Hg2 structure.

Cell lengths 4.7188, 4.7188, 29.7015 Å; angles 90.00, 90.00, 120.00 degrees
Space group R-3m (No. 166, hexagonal axes)
Unique sites:
La: 0.0000 0.0000 0.0000
Pr: 0.0000 0.0000 0.1295
Ga: 0.0000 0.0000 0.2531
Hg: 0.0000 0.0000 0.3976

## Properties
* total magnetization: 0.000 μB per cell
* energy relative to the elements: -0.407 eV/atom

***

(7)
The following is a DFT calculation (PBE-GGA) of a geometry-optimized La2Ga3HgPt4 structure.

Cell lengths 4.184, 4.184, 11.754 Å; angles 90.00, 90.00, 90.00 degrees
Space group P-4m2 (No. 115)
Unique sites:
La: 0.000 0.500 0.249
Ga: 0.000 0.000 0.000
Ga: 0.000 0.500 0.624
Hg: 0.500 0.500 0.000
Pt: 0.000 0.000 0.500
Pt: 0.000 0.500 0.836
Pt: 0.500 0.500 0.500

## Properties
* total magnetization: 0.000 μB per cell
* energy relative to the elements: -0.879 eV/atom

***

(8)
The following is a DFT calculation (PBE-GGA) of a geometry-optimized LaGa2HgPt structure.

Cell lengths 4.876, 4.876, 5.623 Å; angles 90.00, 90.00, 90.00 degrees
Space group P4/mmm (No. 123)
Unique sites:
La: 0.000 0.000 0.000
Ga: 0.000 0.500 0.500
Hg: 0.500 0.500 0.000
Pt: 0.000 0.000 0.500

## Properties
* total magnetization: 0.000 μB per cell
* energy relative to the elements: -0.475 eV/atom

***

(9)
The following is a DFT calculation (PBE-GGA) of a geometry-optimized LaGaHgPt3 structure.

Cell lengths 7.294, 12.397, 5.826 Å; angles 90.00, 90.00, 90.00 degrees
Space group Cmcm (No. 63)
Unique sites:
La: 0.000 0.195 0.250
Ga: 0.000 0.121 0.750
Hg: 0.000 0.446 0.250
Pt: 0.000 0.316 0.750
Pt: 0.196 0.000 0.000

## Properties
* total magnetization: 0.000 μB per cell
* energy relative to the elements: -0.522 eV/atom

***

(10)
The following is a DFT calculation (PBE-GGA) of a geometry-optimized LaPuGaHg structure.

Cell lengths 7.557, 7.557, 7.557 Å; angles 90.00, 90.00, 90.00 degrees
Space group F-43m (No. 216)
Unique sites:
La: 0.000 0.000 0.000
Pu: 0.000 0.000 0.500
Ga: 0.250 0.250 0.750
Hg: 0.250 0.250 0.250

## Properties
* total magnetization: 25.496 μB per cell
* energy relative to the elements: -0.319 eV/atom

***

(11)
The following is a DFT calculation (PBE-GGA) of a geometry-optimized La2GaHgRh structure.

Cell lengths 5.514, 5.514, 4.806 Å; angles 90.00, 90.00, 90.00 degrees
Space group P4/mmm (No. 123)
Unique sites:
La: 0.000 0.500 0.000
Ga: 0.000 0.000 0.500
Hg: 0.500 0.500 0.500
Rh: 0.000 0.000 0.000

## Properties
* total magnetization: 0.002 μB per cell
* energy relative to the elements: -0.541 eV/atom

***

(12)
The following is a DFT calculation (PBE-GGA) of a geometry-optimized LaGa2HgRh structure.

Cell lengths 4.886, 4.886, 5.339 Å; angles 90.00, 90.00, 90.00 degrees
Space group P4/mmm (No. 123)
Unique sites:
La: 0.000 0.000 0.000
Ga: 0.000 0.500 0.500
Hg: 0.500 0.500 0.000
Rh: 0.000 0.000 0.500

## Properties
* total magnetization: 0.000 μB per cell
* energy relative to the elements: -0.487 eV/atom